Entry from the Alexandria database: a relaxed structure of RbZnCdCl5 (PBE-GGA).

a = 7.5193 Å, b = 7.5193 Å, c = 9.4533 Å
α = 103.50°, β = 103.50°, γ = 106.38°
Last column: nearest neighbours and their distance in Å.
Atoms (fractional coordinates):
Rb 0.1519 0.8481 0.7500  7 Cl 3.25-3.61
Rb 0.8481 0.1519 0.2500  7 Cl 3.25-3.61
Zn 0.1892 0.8108 0.2500  4 Cl 2.30-2.31
Zn 0.8108 0.1892 0.7500  4 Cl 2.30-2.31
Cd 0.5000 0.5000 0.0000  6 Cl 2.54-2.80
Cd 0.5000 0.5000 0.5000  6 Cl 2.54-2.80
Cl 0.1099 0.2616 0.9305  1 Zn 2.31
Cl 0.1847 0.5951 0.3872  1 Zn 2.30
Cl 0.2616 0.1099 0.4305  1 Zn 2.31
Cl 0.4049 0.8153 0.1128  1 Zn 2.30
Cl 0.4222 0.5778 0.7500  2 Cd 2.54
Cl 0.5778 0.4222 0.2500  2 Cd 2.54
Cl 0.5951 0.1847 0.8872  1 Zn 2.30
Cl 0.7384 0.8901 0.5695  1 Zn 2.31
Cl 0.8153 0.4049 0.6128  1 Zn 2.30
Cl 0.8901 0.7384 0.0695  1 Zn 2.31

=====

Entry from the Alexandria database: a relaxed structure of RbZrCd2Cl (PBE-GGA).

a = 6.3572 Å, b = 6.3572 Å, c = 5.6681 Å
α = 90.00°, β = 90.00°, γ = 90.00°
Last column: nearest neighbours and their distance in Å.
Atoms (fractional coordinates):
Rb 0.0000 0.0000 0.0000  2 Cl 2.83
Zr 0.5000 0.5000 0.5000  8 Cd 4.26, 4 Cl 4.50
Cd 0.0000 0.5000 0.0000  2 Rb 3.18
Cd 0.5000 0.0000 0.0000  2 Rb 3.18
Cl 0.0000 0.0000 0.5000  2 Rb 2.83

=====

Entry from the Alexandria database: a relaxed structure of CdRe2Cl (PBE-GGA).

The energy above the most stable polymorph in this dataset comes out at 1062 meV per atom.

a = 3.6071 Å, b = 3.6071 Å, c = 12.7719 Å
α = 90.00°, β = 90.00°, γ = 90.00°
Last column: nearest neighbours and their distance in Å.
Atoms (fractional coordinates):
Cd 0.0000 0.0000 0.0000  4 Cl 2.55
Cd 0.5000 0.5000 0.5000  4 Cl 2.55
Re 0.0000 0.5000 0.2500  4 Re 2.55
Re 0.0000 0.5000 0.7500  4 Re 2.55
Re 0.5000 0.0000 0.2500  4 Re 2.55
Re 0.5000 0.0000 0.7500  4 Re 2.55
Cl 0.0000 0.0000 0.5000  4 Cd 2.55
Cl 0.5000 0.5000 0.0000  4 Cd 2.55

=====

Entry from the Alexandria database: a relaxed structure of CdReCl (PBE-GGA).

The energy above the most stable polymorph in this dataset comes out at 986 meV per atom.

a = 6.5630 Å, b = 6.5630 Å, c = 6.5630 Å
α = 90.00°, β = 90.00°, γ = 90.00°
Last column: nearest neighbours and their distance in Å.
Atoms (fractional coordinates):
Cd 0.0000 0.0000 0.0000  4 Re 2.84
Cd 0.0000 0.5000 0.5000  4 Re 2.84
Cd 0.5000 0.0000 0.5000  4 Re 2.84
Cd 0.5000 0.5000 0.0000  4 Re 2.84
Re 0.2500 0.2500 0.7500  4 Cd 2.84, 4 Cl 2.84
Re 0.2500 0.7500 0.2500  4 Cd 2.84, 4 Cl 2.84
Re 0.7500 0.2500 0.2500  4 Cd 2.84, 4 Cl 2.84
Re 0.7500 0.7500 0.7500  4 Cd 2.84, 4 Cl 2.84
Cl 0.0000 0.0000 0.5000  4 Re 2.84
Cl 0.0000 0.5000 0.0000  4 Re 2.84
Cl 0.5000 0.0000 0.0000  4 Re 2.84
Cl 0.5000 0.5000 0.5000  4 Re 2.84

=====

V per entry: 236.1; 229.1; 83.1; 70.7 Å³/f.u.
Energy relative to the elements, uncorrected per entry: -1.343; 0.763; 1.167; 1.424 eV per atom
DOS(E_F) per entry: 0.0; 5.2; 8.1; 11.0 states/eV/cell